SmAl5Cu3 | PBE-GGA | relaxed

Lattice parameters (Å, degrees): 6.585 6.585 12.550 90.00 90.00 145.40
Element x y z (fractional)
Sm: 0.155 0.845 0.750
Sm: 0.845 0.155 0.250
Al: 0.000 0.000 0.000
Al: 0.000 0.000 0.500
Al: 0.200 0.800 0.066
Al: 0.200 0.800 0.434
Al: 0.443 0.557 0.649
Al: 0.443 0.557 0.851
Al: 0.557 0.443 0.149
Al: 0.557 0.443 0.351
Al: 0.800 0.200 0.566
Al: 0.800 0.200 0.934
Cu: 0.133 0.867 0.250
Cu: 0.389 0.611 0.047
Cu: 0.389 0.611 0.453
Cu: 0.611 0.389 0.547
Cu: 0.611 0.389 0.953
Cu: 0.867 0.133 0.750

Output
As for the size of the total moment: 0.0 μB per formula unit. The volume is 17.17 A^3/atom.



Zr2TlNi2 | PBE-GGA | relaxed

Lattice parameters (Å, degrees): 8.755 8.755 8.755 157.85 157.85 31.53
Element x y z (fractional)
Zr: 0.129 0.129 0.000
Zr: 0.871 0.871 0.000
Tl: 0.500 0.500 0.000
Ni: 0.250 0.750 0.500
Ni: 0.750 0.250 0.500

Output
As for the size of the total moment: 0.0 μB per formula unit. The volume is 19.06 A^3/atom.



What did we get for DFT formation energy? Answer: -0.2841; -0.1177 eV per atom, in the order shown.